1) First-principles (PBE) data for crystalline Pm3Pr2Sm at its relaxed geometry, as listed in Alexandria.

a b c (Å): 18.3595 3.5069 6.7140
angles (deg): 90.00 102.99 90.00
Closest atoms and distances in Å follow each position.
Positions (direct):
Pm (0.0000, 0.0000, 0.0000)  2 Sm 3.36, 4 Pm 3.50-3.51
Pm (0.1711, 0.0000, 0.3580)  1 Sm 3.48, 5 Pm 3.50-3.55, 5 Pr 3.65-3.80
Pm (0.3289, 0.5000, 0.6420)  1 Sm 3.48, 5 Pm 3.50-3.55, 5 Pr 3.65-3.80
Pm (0.5000, 0.5000, 0.0000)  2 Sm 3.36, 4 Pm 3.50-3.51
Pm (0.6711, 0.5000, 0.3580)  1 Sm 3.48, 5 Pm 3.50-3.55, 5 Pr 3.65-3.80
Pm (0.8289, 0.0000, 0.6420)  1 Sm 3.48, 5 Pm 3.50-3.55, 5 Pr 3.65-3.80
Pr (0.1616, 0.5000, 0.8501)  4 Pr 3.51-3.84, 7 Pm 3.65-3.80, 2 Sm 3.78
Pr (0.3384, 0.0000, 0.1499)  4 Pr 3.51-3.84, 7 Pm 3.65-3.80, 2 Sm 3.78
Pr (0.6616, 0.0000, 0.8501)  4 Pr 3.51-3.84, 7 Pm 3.65-3.80, 2 Sm 3.78
Pr (0.8384, 0.5000, 0.1499)  4 Pr 3.51-3.84, 7 Pm 3.65-3.80, 2 Sm 3.78
Sm (0.0000, 0.0000, 0.5000)  4 Pm 3.36-3.48, 2 Sm 3.51
Sm (0.5000, 0.5000, 0.5000)  4 Pm 3.36-3.48, 2 Sm 3.51

Computed properties:
N(E_F)	1.85	states/eV per atom
spin magnetization	0.00	μB/cell

***

2) First-principles (PBE) data for crystalline Pm3Pr2Sm at its relaxed geometry, as listed in Alexandria.

a b c (Å): 6.8349 18.0094 3.4567
angles (deg): 90.00 90.00 90.00
Closest atoms and distances in Å follow each position.
Positions (direct):
Pm (0.0000, 0.0000, 0.0000)  2 Pm 3.46, 4 Pr 3.61, 4 Sm 3.83
Pm (0.2385, 0.3223, 0.0000)  4 Pr 3.41-3.52, 2 Pm 3.46, 1 Sm 3.59
Pm (0.2615, 0.8223, 0.5000)  4 Pr 3.41-3.52, 2 Pm 3.46, 1 Sm 3.59
Pm (0.5000, 0.5000, 0.5000)  2 Pm 3.46, 4 Pr 3.61, 4 Sm 3.83
Pm (0.7385, 0.1777, 0.5000)  4 Pr 3.41-3.52, 2 Pm 3.46, 1 Sm 3.59
Pm (0.7615, 0.6777, 0.0000)  4 Pr 3.41-3.52, 2 Pm 3.46, 1 Sm 3.59
Pr (0.2325, 0.1521, 0.5000)  1 Sm 3.29, 6 Pm 3.41-3.61, 2 Pr 3.46
Pr (0.2675, 0.6521, 0.0000)  1 Sm 3.29, 6 Pm 3.41-3.61, 2 Pr 3.46
Pr (0.7325, 0.3479, 0.0000)  1 Sm 3.29, 6 Pm 3.41-3.61, 2 Pr 3.46
Pr (0.7675, 0.8479, 0.5000)  1 Sm 3.29, 6 Pm 3.41-3.61, 2 Pr 3.46
Sm (0.0000, 0.5000, 0.0000)  2 Pr 3.29, 2 Sm 3.46, 2 Pm 3.59
Sm (0.5000, 0.0000, 0.5000)  2 Pr 3.29, 2 Sm 3.46, 2 Pm 3.59

Computed properties:
N(E_F)	1.78	states/eV per atom
spin magnetization	0.00	μB/cell

***

Most stable: 1) (next structure +0.101 eV/atom)

***

1) First-principles (PBE) data for crystalline Pm3PrSm6 at its relaxed geometry, as listed in Alexandria.

a b c (Å): 11.1205 11.1205 6.4398
angles (deg): 90.00 90.00 120.40
Closest atoms and distances in Å follow each position.
Positions (direct):
Pm (0.1154, 0.8846, 0.5000)  7 Sm 3.48-3.82, 2 Pm 3.67, 1 Pr 3.74
Pm (0.2075, 0.4404, 0.8775)  1 Pr 3.31, 6 Sm 3.34-3.58, 1 Pm 3.67
Pm (0.4404, 0.2075, 0.3775)  1 Pr 3.31, 6 Sm 3.34-3.58, 1 Pm 3.67
Pm (0.5596, 0.7925, 0.8775)  1 Pr 3.31, 6 Sm 3.34-3.58, 1 Pm 3.67
Pm (0.7925, 0.5596, 0.3775)  1 Pr 3.31, 6 Sm 3.34-3.58, 1 Pm 3.67
Pm (0.8846, 0.1154, 0.0000)  7 Sm 3.48-3.82, 2 Pm 3.67, 1 Pr 3.74
Pr (0.3092, 0.6908, 0.5260)  6 Sm 3.30-3.68, 2 Pm 3.31
Pr (0.6908, 0.3092, 0.0260)  6 Sm 3.30-3.68, 2 Pm 3.31
Sm (0.0281, 0.4449, 0.2897)  3 Sm 3.16-3.53, 1 Pr 3.30, 2 Pm 3.34-3.49
Sm (0.1272, 0.2106, 0.4683)  4 Pm 3.46-3.82, 5 Sm 3.50-3.86
Sm (0.2106, 0.1272, 0.9683)  4 Pm 3.46-3.82, 5 Sm 3.50-3.86
Sm (0.2212, 0.7788, 0.0620)  4 Sm 3.16-3.53, 1 Pr 3.44, 1 Pm 3.48
Sm (0.4449, 0.0281, 0.7897)  3 Sm 3.16-3.53, 1 Pr 3.30, 2 Pm 3.34-3.49
Sm (0.4645, 0.5355, 0.2764)  1 Pr 3.40, 2 Sm 3.50, 4 Pm 3.58
Sm (0.5355, 0.4645, 0.7764)  1 Pr 3.40, 2 Sm 3.50, 4 Pm 3.58
Sm (0.5551, 0.9719, 0.2897)  3 Sm 3.16-3.53, 1 Pr 3.30, 2 Pm 3.34-3.49
Sm (0.7788, 0.2212, 0.5620)  4 Sm 3.16-3.53, 1 Pr 3.44, 1 Pm 3.48
Sm (0.7894, 0.8728, 0.4683)  4 Pm 3.46-3.82, 5 Sm 3.50-3.86
Sm (0.8728, 0.7894, 0.9683)  4 Pm 3.46-3.82, 5 Sm 3.50-3.86
Sm (0.9719, 0.5551, 0.7897)  3 Sm 3.16-3.53, 1 Pr 3.30, 2 Pm 3.34-3.49

Computed properties:
N(E_F)	1.41	states/eV per atom
spin magnetization	0.00	μB/cell

***

2) First-principles (PBE) data for crystalline Pm3PrSm6 at its relaxed geometry, as listed in Alexandria.

a b c (Å): 7.0260 7.0260 7.0260
angles (deg): 91.32 91.32 91.32
Closest atoms and distances in Å follow each position.
Positions (direct):
Pm (0.0000, 0.0000, 0.0000)  2 Pm 2.95, 3 Sm 3.27
Pm (0.2481, 0.2481, 0.2481)  1 Pm 2.95, 1 Pr 2.99
Pm (0.7519, 0.7519, 0.7519)  1 Pm 2.95, 1 Pr 2.99
Pr (0.5000, 0.5000, 0.5000)  2 Pm 2.99, 3 Sm 3.28
Sm (0.0000, 0.6746, 0.3254)  3 Pm 3.27-3.54
Sm (0.1736, 0.5000, 0.8264)  1 Pr 3.28, 2 Pm 3.52
Sm (0.3254, 0.0000, 0.6746)  3 Pm 3.27-3.54
Sm (0.5000, 0.8264, 0.1736)  1 Pr 3.28, 2 Pm 3.52
Sm (0.6746, 0.3254, 0.0000)  3 Pm 3.27-3.54
Sm (0.8264, 0.1736, 0.5000)  1 Pr 3.28, 2 Pm 3.52

Computed properties:
N(E_F)	2.07	states/eV per atom
spin magnetization	0.00	μB/cell

***

Most stable: 1) (next structure +0.108 eV/atom)

***

1) First-principles (PBE) data for crystalline PmPr2Sm3 at its relaxed geometry, as listed in Alexandria.

a b c (Å): 6.7985 6.7985 9.1761
angles (deg): 97.68 97.68 95.16
Closest atoms and distances in Å follow each position.
Positions (direct):
Pm (0.0842, 0.9158, 0.7500)  5 Sm 3.35-3.55
Pm (0.9158, 0.0842, 0.2500)  5 Sm 3.35-3.55
Pr (0.1255, 0.6248, 0.3748)  2 Pr 3.55-3.56, 9 Sm 3.78-3.80, 3 Pm 3.79-3.80
Pr (0.3752, 0.8745, 0.1252)  2 Pr 3.55-3.56, 9 Sm 3.78-3.80, 3 Pm 3.79-3.80
Pr (0.6248, 0.1255, 0.8748)  2 Pr 3.55-3.56, 9 Sm 3.78-3.80, 3 Pm 3.79-3.80
Pr (0.8745, 0.3752, 0.6252)  2 Pr 3.55-3.56, 9 Sm 3.78-3.80, 3 Pm 3.79-3.80
Sm (0.1660, 0.3328, 0.9996)  3 Sm 3.35-3.55, 2 Pm 3.35-3.55
Sm (0.3328, 0.1660, 0.4996)  3 Sm 3.35-3.55, 2 Pm 3.35-3.55
Sm (0.4175, 0.5825, 0.7500)  1 Pm 3.35, 4 Sm 3.35-3.55
Sm (0.5825, 0.4175, 0.2500)  1 Pm 3.35, 4 Sm 3.35-3.55
Sm (0.6672, 0.8340, 0.5004)  3 Sm 3.35-3.55, 2 Pm 3.35-3.55
Sm (0.8340, 0.6672, 0.0004)  3 Sm 3.35-3.55, 2 Pm 3.35-3.55

Computed properties:
N(E_F)	1.48	states/eV per atom
spin magnetization	0.00	μB/cell

***

2) First-principles (PBE) data for crystalline PmPr2Sm3 at its relaxed geometry, as listed in Alexandria.

a b c (Å): 7.7753 7.7753 6.8250
angles (deg): 90.00 90.00 89.99
Closest atoms and distances in Å follow each position.
Positions (direct):
Pm (0.0964, 0.9036, 0.7500)  5 Sm 3.39-3.41
Pm (0.9036, 0.0964, 0.2500)  5 Sm 3.39-3.41
Pr (0.0999, 0.5993, 0.2500)  1 Pr 3.31, 4 Sm 3.41-3.42
Pr (0.4007, 0.9001, 0.2500)  1 Pr 3.31, 4 Sm 3.41-3.42
Pr (0.5993, 0.0999, 0.7500)  1 Pr 3.31, 4 Sm 3.41-3.42
Pr (0.9001, 0.4007, 0.7500)  1 Pr 3.31, 4 Sm 3.41-3.42
Sm (0.2502, 0.2502, 0.0000)  4 Sm 3.40-3.41, 2 Pm 3.41, 4 Pr 3.41-3.42
Sm (0.2502, 0.2502, 0.5000)  4 Sm 3.40-3.41, 2 Pm 3.41, 4 Pr 3.41-3.42
Sm (0.4050, 0.5950, 0.7500)  1 Pm 3.39, 4 Sm 3.40
Sm (0.5950, 0.4050, 0.2500)  1 Pm 3.39, 4 Sm 3.40
Sm (0.7498, 0.7498, 0.0000)  4 Sm 3.40-3.41, 2 Pm 3.41, 4 Pr 3.41-3.42
Sm (0.7498, 0.7498, 0.5000)  4 Sm 3.40-3.41, 2 Pm 3.41, 4 Pr 3.41-3.42

Computed properties:
N(E_F)	1.10	states/eV per atom
spin magnetization	0.00	μB/cell

***

Most stable: 1) (next structure +0.126 eV/atom)

***

1) First-principles (PBE) data for crystalline Pm6Pr4Sm at its relaxed geometry, as listed in Alexandria.

a b c (Å): 8.7300 8.7300 8.7300
angles (deg): 127.59 127.59 77.29
Closest atoms and distances in Å follow each position.
Positions (direct):
Pm (0.0000, 0.5000, 0.5000)  4 Pr 3.05
Pm (0.0411, 0.5862, 0.0000)  1 Pr 3.23, 1 Sm 3.55
Pm (0.4138, 0.4138, 0.4549)  1 Pr 3.23, 1 Sm 3.55
Pm (0.5000, 0.0000, 0.5000)  4 Pr 3.05
Pm (0.5862, 0.0411, 0.0000)  1 Pr 3.23, 1 Sm 3.55
Pm (0.9589, 0.9589, 0.5451)  1 Pr 3.23, 1 Sm 3.55
Pr (0.2456, 0.2456, 0.6521)  3 Pm 3.05-3.23
Pr (0.4065, 0.7544, 0.0000)  3 Pm 3.05-3.23
Pr (0.5935, 0.5935, 0.3479)  3 Pm 3.05-3.23
Pr (0.7544, 0.4065, 0.0000)  3 Pm 3.05-3.23
Sm (0.0000, 0.0000, 0.0000)  8 Pm 3.55-3.85, 4 Pr 3.72

Computed properties:
N(E_F)	1.18	states/eV per atom
spin magnetization	0.00	μB/cell

***

2) First-principles (PBE) data for crystalline Pm6Pr4Sm at its relaxed geometry, as listed in Alexandria.

a b c (Å): 9.8101 9.8101 9.8101
angles (deg): 139.33 139.33 58.87
Closest atoms and distances in Å follow each position.
Positions (direct):
Pm (0.0000, 0.5000, 0.5000)  4 Pm 3.26, 2 Sm 3.41
Pm (0.2034, 0.2034, 0.6502)  3 Pm 3.26-3.37, 3 Pr 3.44-3.56
Pm (0.4468, 0.7966, 0.0000)  3 Pm 3.26-3.37, 3 Pr 3.44-3.56
Pm (0.5000, 0.0000, 0.5000)  4 Pm 3.26, 2 Sm 3.41
Pm (0.5532, 0.5532, 0.3498)  3 Pm 3.26-3.37, 3 Pr 3.44-3.56
Pm (0.7966, 0.4468, 0.0000)  3 Pm 3.26-3.37, 3 Pr 3.44-3.56
Pr (0.0129, 0.6326, 0.0000)  5 Pm 3.44-3.75, 1 Sm 3.54, 1 Pr 3.67
Pr (0.3674, 0.3674, 0.3803)  5 Pm 3.44-3.75, 1 Sm 3.54, 1 Pr 3.67
Pr (0.6326, 0.0129, 0.0000)  5 Pm 3.44-3.75, 1 Sm 3.54, 1 Pr 3.67
Pr (0.9871, 0.9871, 0.6197)  5 Pm 3.44-3.75, 1 Sm 3.54, 1 Pr 3.67
Sm (0.0000, 0.0000, 0.0000)  8 Pm 3.41-3.76, 4 Pr 3.54

Computed properties:
N(E_F)	1.46	states/eV per atom
spin magnetization	0.00	μB/cell

***

Most stable: 2) (next structure +0.097 eV/atom)